! BaTlHg2 (meta-GGA SCAN, single point on PBEsol structure); values from VASP
&SYSTEM
  ibrav = 0, nat = 4, ntyp = 3
/
ATOMIC_SPECIES
Ba 137.33 Ba.upf
Tl 204.38 Tl.upf
Hg 200.59 Hg.upf
CELL_PARAMETERS angstrom
5.420 0.000 0.000
-2.710 4.699 -0.438
0.000 -2.687 4.707
ATOMIC_POSITIONS angstrom
Ba 0.000 0.334 3.311
Tl 2.710 -1.344 2.353
Hg 0.000 0.000 0.000
Hg 2.710 1.678 0.958
! relative energy among the computed polymorphs	89	meV/atom
! formation enthalpy at 0 K	-0.409	eV per atom
! spin magnetization	0.0	μB/cell
! VASP energy	-62.469	eV per atom
! V	113	Å³ per cell


! IrRhAu2 (meta-GGA SCAN, single point on PBEsol structure); values from VASP
&SYSTEM
  ibrav = 0, nat = 4, ntyp = 3
/
ATOMIC_SPECIES
Au 196.97 Au.upf
Rh 102.91 Rh.upf
Ir 192.22 Ir.upf
CELL_PARAMETERS angstrom
-0.529 3.110 -2.393
-3.150 1.103 2.130
4.137 0.042 2.416
ATOMIC_POSITIONS angstrom
Au 0.884 2.629 -0.055
Au -0.427 1.626 2.207
Rh 0.000 0.000 0.000
Ir -1.840 2.106 -0.131
! relative energy among the computed polymorphs	0	meV/atom
! formation enthalpy at 0 K	0.390	eV per atom
! spin magnetization	1.6	μB/cell
! VASP energy	-60.406	eV per atom
! V	61	Å³ per cell